(1)
This record from OQMD via LeMat-Bulk describes crystalline KGdGeSe4 at its relaxed geometry. The functional is GGA-PBE.

Results
For the calculated total energy, the calculation gives -4.61 eV per atom.

The structure in CIF format:
```
data_KGdGeSe4
_chemical_formula_sum 'K2 Gd2 Ge2 Se8'
_space_group_name_H-M_alt 'P 1 21 1'
_space_group_IT_number 4
_space_group_name_Hall 'P 2yb'
_cell_length_a 6.8371
_cell_length_b 7.0438
_cell_length_c 9.0940
_cell_angle_alpha 90.00
_cell_angle_beta 107.82
_cell_angle_gamma 90.00
loop_
_atom_site_label
_atom_site_type_symbol
_atom_site_fract_x
_atom_site_fract_y
_atom_site_fract_z
K1 K 0.2457 0.0000 0.4380
Gd1 Gd 0.2710 0.9911 0.9491
Ge1 Ge 0.2776 0.5261 0.1741
Se1 Se 0.0626 0.5997 0.9207
Se2 Se 0.0725 0.5304 0.3397
Se3 Se 0.4626 0.2666 0.7763
Se4 Se 0.4896 0.2495 0.2066
```

---

(2)
This record from OQMD via LeMat-Bulk describes crystalline KGdGeTe3 at its relaxed geometry. The functional is GGA-PBE.

Results
For the calculated total energy, the calculation gives -4.15 eV per atom.

The structure in CIF format:
```
data_KGdGeTe3
_chemical_formula_sum 'K4 Gd4 Ge4 Te12'
_space_group_name_H-M_alt 'C m c m'
_space_group_IT_number 63
_space_group_name_Hall '-C 2c 2'
_cell_length_a 4.6733
_cell_length_b 15.4911
_cell_length_c 12.0656
_cell_angle_alpha 90.00
_cell_angle_beta 90.00
_cell_angle_gamma 90.00
loop_
_atom_site_label
_atom_site_type_symbol
_atom_site_fract_x
_atom_site_fract_y
_atom_site_fract_z
K1 K 0.0000 0.2454 0.2500
Gd1 Gd 0.0000 0.0000 0.0000
Ge1 Ge 0.0000 0.4651 0.7500
Te1 Te 0.0000 0.0714 0.7500
Te2 Te 0.0000 0.3667 0.5487
```

---

(3)
This record from OQMD via LeMat-Bulk describes crystalline LaGd2Ge7 at its relaxed geometry. The functional is GGA-PBE.

Results
For the calculated total energy, the calculation gives -5.19 eV per atom.

The structure in CIF format:
```
data_LaGd2Ge7
_chemical_formula_sum 'La2 Gd4 Ge14'
_space_group_name_H-M_alt 'C m m m'
_space_group_IT_number 65
_space_group_name_Hall '-C 2 2'
_cell_length_a 4.2156
_cell_length_b 23.8229
_cell_length_c 4.3159
_cell_angle_alpha 90.00
_cell_angle_beta 90.00
_cell_angle_gamma 90.00
loop_
_atom_site_label
_atom_site_type_symbol
_atom_site_fract_x
_atom_site_fract_y
_atom_site_fract_z
La1 La 0.0000 0.0000 0.0000
Gd1 Gd 0.0000 0.1851 0.0000
Ge1 Ge 0.0000 0.0970 0.5000
Ge2 Ge 0.0000 0.2878 0.5000
Ge3 Ge 0.0000 0.4039 0.0000
Ge4 Ge 0.0000 0.5000 0.5000
```

---

(4)
This record from OQMD via LeMat-Bulk describes crystalline LaNdGd2Zn12Ge6 at its relaxed geometry. The functional is GGA-PBE.

Results
For the calculated total energy, the calculation gives -3.23 eV per atom.

The structure in CIF format:
```
data_LaNdGd2Zn12Ge6
_chemical_formula_sum 'La1 Nd1 Gd2 Zn12 Ge6'
_space_group_name_H-M_alt 'P 1 m 1'
_space_group_IT_number 6
_space_group_name_Hall 'P -2y'
_cell_length_a 7.6551
_cell_length_b 4.0790
_cell_length_c 13.2587
_cell_angle_alpha 90.00
_cell_angle_beta 90.01
_cell_angle_gamma 90.00
loop_
_atom_site_label
_atom_site_type_symbol
_atom_site_fract_x
_atom_site_fract_y
_atom_site_fract_z
La1 La 0.0000 0.0000 0.0000
Nd1 Nd 0.9993 0.0000 0.3356
Gd1 Gd 0.4998 0.0000 0.5011
Gd2 Gd 0.5003 0.0000 0.8322
Zn1 Zn 0.1426 0.5000 0.5248
Zn2 Zn 0.1435 0.5000 0.8091
Zn3 Zn 0.1896 0.0000 0.6675
Zn4 Zn 0.2158 0.5000 0.1678
Zn5 Zn 0.4044 0.0000 0.2626
Zn6 Zn 0.4109 0.0000 0.0708
Zn7 Zn 0.6418 0.5000 0.3117
Zn8 Zn 0.6438 0.5000 0.0236
Zn9 Zn 0.6898 0.0000 0.1696
Zn10 Zn 0.7111 0.5000 0.6663
Zn11 Zn 0.9012 0.0000 0.7604
Zn12 Zn 0.9030 0.0000 0.5723
Ge1 Ge 0.3097 0.5000 0.3618
Ge2 Ge 0.3124 0.5000 0.9730
Ge3 Ge 0.3852 0.5000 0.6667
Ge4 Ge 0.8032 0.5000 0.8573
Ge5 Ge 0.8036 0.5000 0.4758
Ge6 Ge 0.8842 0.5000 0.1688
```